Record 1
A plane-wave DFT calculation with GGA-PBE was carried out for a relaxed structure of Sc5Ga4Co.

Values from the calculation:
energy of formation = -0.560 eV per atom

```
Sc5Ga4Co
1.0
3.238 0.000 0.000
0.000 3.238 0.000
0.000 0.000 17.336
Sc Ga Co
5 4 1
Direct
0.000 0.000 0.000
0.000 0.000 0.208
0.000 0.000 0.413
0.000 0.000 0.587
0.000 0.000 0.792
0.500 0.500 0.104
0.500 0.500 0.311
0.500 0.500 0.689
0.500 0.500 0.896
0.500 0.500 0.500
```



Record 2
A plane-wave DFT calculation with GGA-PBE was carried out for a relaxed structure of Mn2AgRh4.

Values from the calculation:
energy of formation = 1.290 eV per atom

```
Mn2AgRh4
1.0
-2.381 2.381 6.058
2.381 -2.381 6.058
2.381 2.381 -6.058
Mn Ag Rh
2 1 4
Direct
0.105 0.105 0.000
0.895 0.895 0.000
0.500 0.500 0.000
0.000 0.500 0.500
0.286 0.286 0.000
0.500 0.000 0.500
0.714 0.714 0.000
```



Record 3
A plane-wave DFT calculation with GGA-PBE was carried out for a relaxed structure of BeAl2Cd.

Values from the calculation:
energy above the lowest structure with this stoichiometry = 0.44 eV/f.u.
energy of formation = 0.321 eV per atom

```
BeAl2Cd
1.0
-2.013 2.013 4.039
2.013 -2.013 4.039
2.013 2.013 -4.039
Be Al Cd
1 2 1
Direct
0.000 0.000 0.000
0.500 0.500 0.000
0.750 0.250 0.500
0.250 0.750 0.500
```



The evaluated D(E_F) for the records listed, in turn: 0.45; 1.61; 0.29 states/eV per atom.